Nb3Tc2W after structural relaxation. Source: Alexandria, functional PBE.

Space group   P4/mmm, No. 123
Energy of formation from the pure elements   -243 meV/atom
Size of the total moment   0.000 μB per cell

Unit cell a=3.208 b=3.208 c=9.662 alpha=90.00 beta=90.00 gamma=90.00
Sites, in units of the cell vectors:
Nb: 0.000 0.000 0.669
Tc: 0.500 0.500 0.836
Nb: 0.000 0.000 0.000
Nb: 0.000 0.000 0.331
Tc: 0.500 0.500 0.164
W: 0.500 0.500 0.500